[1]
# Ca4TbPb15 | Alexandria | GGA-PBE | optimized geometry
# total DFT energy (no corrections)	-3.73	eV/atom
# energy relative to the elements	-313	meV per atom
data_Ca4TbPb15
_symmetry_space_group_name_H-M 'P 4/m m m'
_symmetry_Int_Tables_number 123
_symmetry_space_group_name_Hall '-P 4 2'
_cell_length_a 4.9125
_cell_length_b 4.9125
_cell_length_c 24.8010
_cell_angle_alpha 90.00
_cell_angle_beta 90.00
_cell_angle_gamma 90.00
loop_
_atom_site_label
_atom_site_type_symbol
_atom_site_fract_x
_atom_site_fract_y
_atom_site_fract_z
Ca1 Ca 0.0000 0.0000 0.1004
Ca2 Ca 0.0000 0.0000 0.3020
Tb1 Tb 0.0000 0.0000 0.5000
Pb1 Pb 0.0000 0.5000 0.0000
Pb2 Pb 0.0000 0.5000 0.2007
Pb3 Pb 0.0000 0.5000 0.4013
Pb4 Pb 0.5000 0.5000 0.1007
Pb5 Pb 0.5000 0.5000 0.3013
Pb6 Pb 0.5000 0.5000 0.5000

[2]
# CaTb2Pb9 | Alexandria | GGA-PBE | optimized geometry
# total DFT energy (no corrections)	-4.03	eV/atom
# energy relative to the elements	-307	meV per atom
data_CaTb2Pb9
_symmetry_space_group_name_H-M 'P 4/m m m'
_symmetry_Int_Tables_number 123
_symmetry_space_group_name_Hall '-P 4 2'
_cell_length_a 4.9175
_cell_length_b 4.9175
_cell_length_c 14.5926
_cell_angle_alpha 90.00
_cell_angle_beta 90.00
_cell_angle_gamma 90.00
loop_
_atom_site_label
_atom_site_type_symbol
_atom_site_fract_x
_atom_site_fract_y
_atom_site_fract_z
Ca1 Ca 0.0000 0.0000 0.0000
Tb1 Tb 0.0000 0.0000 0.3380
Pb1 Pb 0.0000 0.5000 0.1685
Pb2 Pb 0.0000 0.5000 0.5000
Pb3 Pb 0.5000 0.5000 0.0000
Pb4 Pb 0.5000 0.5000 0.3339

- Look up the total DFT energy (no corrections) of the first one.
  -3.73 eV/atom